# 1
## CaW (GGA-PBE)

Data for crystalline CaW at its relaxed geometry.

```
12
Lattice="-3.487 -1.128 -4.094 -6.563 -6.732 7.444 -2.336 3.432 1.044" Properties=species:S:1:pos:R:3 pbc="T T T"
Ca -4.970 -0.960 0.809
Ca -7.416 -3.469 3.584
W -2.515 -1.355 -1.172
W -7.535 -6.505 4.522
W -4.053 -4.157 4.597
W -2.911 1.152 -1.525
W -4.449 -1.650 4.244
Ca -6.507 -3.762 6.578
Ca 0.000 0.000 0.000
W -2.510 -2.575 2.847
Ca -5.025 -3.930 1.675
Ca -2.391 0.461 1.909
```

Properties
- ΔH_f (0 K) (meV per atom) = 802.7
- electronic total energy (eV per formula unit) = -13.35
- offset from the most stable computed form (meV/atom) = 314.2
- V (Å³/cell) = 282.05
- N(E_F) (states/eV/atom) = 0.527
- SG = Cmmm

# 2
## CaW2 (GGA-PBE)

Data for crystalline CaW2 at its relaxed geometry.

```
3
Lattice="-1.665 1.665 5.697 1.665 -1.665 5.697 1.665 1.665 -5.697" Properties=species:S:1:pos:R:3 pbc="T T T"
W 0.000 0.000 2.276
Ca 0.000 0.000 5.697
W 0.000 0.000 9.118
```

Properties
- ΔH_f (0 K) (meV per atom) = 640.9
- electronic total energy (eV per formula unit) = -25.99
- V (Å³/cell) = 63.17
- N(E_F) (states/eV/atom) = 0.779
- SG = I4/mmm

# 3
## CaW (GGA-PBE)

Data for crystalline CaW at its relaxed geometry.

```
4
Lattice="6.978 -0.385 -0.233 5.829 3.856 -0.233 5.829 1.580 3.525" Properties=species:S:1:pos:R:3 pbc="T T T"
Ca 16.759 4.542 2.751
W 12.431 3.369 2.040
Ca 1.877 0.509 0.308
W 6.205 1.682 1.018
```

Properties
- ΔH_f (0 K) (meV per atom) = 661.0
- electronic total energy (eV per formula unit) = -13.63
- offset from the most stable computed form (meV/atom) = 172.5
- V (Å³/cell) = 108.95
- N(E_F) (states/eV/atom) = 0.693
- SG = R-3m

# 4
## Ca2W (GGA-PBE)

Data for crystalline Ca2W at its relaxed geometry.

```
6
Lattice="2.980 0.000 0.000 0.000 7.684 0.000 0.000 0.000 7.856" Properties=species:S:1:pos:R:3 pbc="T T T"
W 0.000 0.000 0.000
Ca 0.000 1.632 5.410
Ca 1.490 2.210 1.482
Ca 1.490 5.474 6.374
W 1.490 3.842 3.928
Ca 0.000 6.052 2.446
```

Properties
- ΔH_f (0 K) (meV per atom) = 1185.0
- electronic total energy (eV per formula unit) = -13.40
- offset from the most stable computed form (meV/atom) = 700.8
- V (Å³/cell) = 179.89
- N(E_F) (states/eV/atom) = 1.383
- SG = Pnnm